one | # Tc3RhW | the Alexandria database | GGA-PBE | relaxed
data_Tc3RhW
_chemical_formula_sum 'Tc3 Rh1 W1'
_symmetry_space_group_name_H-M 'P m -3 m'
_symmetry_Int_Tables_number 221
_symmetry_space_group_name_Hall '-P 4 2 3'
_cell_length_a 4.632
_cell_length_b 4.632
_cell_length_c 4.632
_cell_angle_alpha 90.00
_cell_angle_beta 90.00
_cell_angle_gamma 90.00
loop_
_atom_site_label
_atom_site_type_symbol
_atom_site_fract_x
_atom_site_fract_y
_atom_site_fract_z
Tc1 Tc 0.000 0.000 0.500
Rh1 Rh 0.500 0.500 0.500
W1 W 0.000 0.000 0.000
# Mass density in kg/m3: 9706

---

two | # Tc3RhW | the Alexandria database | GGA-PBE | relaxed
data_Tc3RhW
_chemical_formula_sum 'Tc3 Rh1 W1'
_symmetry_space_group_name_H-M 'P m -3 m'
_symmetry_Int_Tables_number 221
_symmetry_space_group_name_Hall '-P 4 2 3'
_cell_length_a 4.565
_cell_length_b 4.565
_cell_length_c 4.565
_cell_angle_alpha 90.00
_cell_angle_beta 90.00
_cell_angle_gamma 90.00
loop_
_atom_site_label
_atom_site_type_symbol
_atom_site_fract_x
_atom_site_fract_y
_atom_site_fract_z
Tc1 Tc 0.000 0.000 0.500
Rh1 Rh 0.000 0.000 0.000
W1 W 0.500 0.500 0.500
# Mass density in kg/m3: 10138

---

If we sort the structures by their calculated energies, the order from most to least stable is one, two.

---

one | # YTcRh | the Alexandria database | GGA-PBE | relaxed
data_YTcRh
_chemical_formula_sum 'Y4 Tc4 Rh4'
_symmetry_space_group_name_H-M 'F -4 3 m'
_symmetry_Int_Tables_number 216
_symmetry_space_group_name_Hall 'F -4 2 3'
_cell_length_a 6.396
_cell_length_b 6.396
_cell_length_c 6.396
_cell_angle_alpha 90.00
_cell_angle_beta 90.00
_cell_angle_gamma 90.00
loop_
_atom_site_label
_atom_site_type_symbol
_atom_site_fract_x
_atom_site_fract_y
_atom_site_fract_z
Y1 Y 0.000 0.000 0.000
Tc1 Tc 0.250 0.250 0.750
Rh1 Rh 0.250 0.250 0.250
# Mass density in kg/m3: 7355

---

two | # YTcRh | the Alexandria database | GGA-PBE | relaxed
data_YTcRh
_chemical_formula_sum 'Y4 Tc4 Rh4'
_symmetry_space_group_name_H-M 'F -4 3 m'
_symmetry_Int_Tables_number 216
_symmetry_space_group_name_Hall 'F -4 2 3'
_cell_length_a 6.339
_cell_length_b 6.339
_cell_length_c 6.339
_cell_angle_alpha 90.00
_cell_angle_beta 90.00
_cell_angle_gamma 90.00
loop_
_atom_site_label
_atom_site_type_symbol
_atom_site_fract_x
_atom_site_fract_y
_atom_site_fract_z
Y1 Y 0.000 0.000 0.000
Tc1 Tc 0.000 0.000 0.500
Rh1 Rh 0.250 0.250 0.250
# Mass density in kg/m3: 7556

---

If we sort the structures by their calculated energies, the order from most to least stable is two, one.

---

one | # YTcRh | the Alexandria database | GGA-PBE | relaxed
data_YTcRh
_chemical_formula_sum 'Y2 Tc2 Rh2'
_symmetry_space_group_name_H-M 'I m m 2'
_symmetry_Int_Tables_number 44
_cell_length_a 2.964
_cell_length_b 3.770
_cell_length_c 10.166
_cell_angle_alpha 90.00
_cell_angle_beta 90.00
_cell_angle_gamma 90.00
loop_
_symmetry_equiv_pos_as_xyz
'x,y,z'
'-x,-y,z'
'-x,y,z'
'x,-y,z'
'x+1/2,y+1/2,z+1/2'
'-x+1/2,-y+1/2,z+1/2'
'-x+1/2,y+1/2,z+1/2'
'x+1/2,-y+1/2,z+1/2'
loop_
_atom_site_label
_atom_site_type_symbol
_atom_site_fract_x
_atom_site_fract_y
_atom_site_fract_z
Y1 Y 0.000 0.000 0.000
Tc1 Tc 0.000 0.000 0.300
Rh1 Rh 0.000 0.000 0.701
# Mass density in kg/m3: 8474

---

two | # YTcRh | the Alexandria database | GGA-PBE | relaxed
data_YTcRh
_chemical_formula_sum 'Y1 Tc1 Rh1'
_symmetry_space_group_name_H-M 'P -6 m 2'
_symmetry_Int_Tables_number 187
_symmetry_space_group_name_Hall 'P -6 2'
_cell_length_a 4.5788
_cell_length_b 4.5788
_cell_length_c 3.0756
_cell_angle_alpha 90.00
_cell_angle_beta 90.00
_cell_angle_gamma 120.00
loop_
_atom_site_label
_atom_site_type_symbol
_atom_site_fract_x
_atom_site_fract_y
_atom_site_fract_z
Y1 Y 0.0000 0.0000 0.0000
Tc1 Tc 0.3333 0.6667 0.5000
Rh1 Rh 0.6667 0.3333 0.5000
# Mass density in kg/m3: 8618

---

If we sort the structures by their calculated energies, the order from most to least stable is one, two.

---

one | # YTcRh2 | the Alexandria database | GGA-PBE | relaxed
data_YTcRh2
_chemical_formula_sum 'Y2 Tc2 Rh4'
_symmetry_space_group_name_H-M 'C m m m'
_symmetry_Int_Tables_number 65
_symmetry_space_group_name_Hall '-C 2 2'
_cell_length_a 5.860
_cell_length_b 7.725
_cell_length_c 2.949
_cell_angle_alpha 90.00
_cell_angle_beta 90.00
_cell_angle_gamma 90.00
loop_
_atom_site_label
_atom_site_type_symbol
_atom_site_fract_x
_atom_site_fract_y
_atom_site_fract_z
Y1 Y 0.000 0.000 0.000
Tc1 Tc 0.000 0.500 0.000
Rh1 Rh 0.250 0.250 0.500
# Mass density in kg/m3: 9769

---

two | # YTcRh2 | the Alexandria database | GGA-PBE | relaxed
data_YTcRh2
_chemical_formula_sum 'Y3 Tc3 Rh6'
_symmetry_space_group_name_H-M 'R 3 m'
_symmetry_Int_Tables_number 160
_symmetry_space_group_name_Hall 'R 3 -2"'
_cell_length_a 2.9348
_cell_length_b 2.9348
_cell_length_c 27.5093
_cell_angle_alpha 90.00
_cell_angle_beta 90.00
_cell_angle_gamma 120.00
loop_
_atom_site_label
_atom_site_type_symbol
_atom_site_fract_x
_atom_site_fract_y
_atom_site_fract_z
Y1 Y 0.0000 0.0000 0.0000
Tc1 Tc 0.0000 0.0000 0.2393
Rh1 Rh 0.0000 0.0000 0.5006
Rh2 Rh 0.0000 0.0000 0.7517
# Mass density in kg/m3: 9534

---

three | # YTcRh2 | the Alexandria database | GGA-PBE | relaxed
data_YTcRh2
_chemical_formula_sum 'Y1 Tc1 Rh2'
_symmetry_space_group_name_H-M 'P 4/m m m'
_symmetry_Int_Tables_number 123
_symmetry_space_group_name_Hall '-P 4 2'
_cell_length_a 2.952
_cell_length_b 2.952
_cell_length_c 7.750
_cell_angle_alpha 90.00
_cell_angle_beta 90.00
_cell_angle_gamma 90.00
loop_
_atom_site_label
_atom_site_type_symbol
_atom_site_fract_x
_atom_site_fract_y
_atom_site_fract_z
Y1 Y 0.000 0.000 0.000
Tc1 Tc 0.000 0.000 0.500
Rh1 Rh 0.500 0.500 0.280
# Mass density in kg/m3: 9657

---

If we sort the structures by their calculated energies, the order from most to least stable is three, one, two.

---

one | # YTcRh2 | the Alexandria database | GGA-PBE | relaxed
data_YTcRh2
_chemical_formula_sum 'Y1 Tc1 Rh2'
_symmetry_space_group_name_H-M 'P 1 m 1'
_symmetry_Int_Tables_number 6
_cell_length_a 2.952
_cell_length_b 4.583
_cell_length_c 5.064
_cell_angle_alpha 90.00
_cell_angle_beta 97.28
_cell_angle_gamma 90.00
loop_
_symmetry_equiv_pos_as_xyz
'x,y,z'
'x,-y,z'
loop_
_atom_site_label
_atom_site_type_symbol
_atom_site_fract_x
_atom_site_fract_y
_atom_site_fract_z
Y1 Y 0.000 0.000 0.000
Tc1 Tc 0.188 0.500 0.613
Rh1 Rh 0.548 0.500 0.150
Rh2 Rh 0.571 0.000 0.495
# Mass density in kg/m3: 9595

---

two | # YTcRh2 | the Alexandria database | GGA-PBE | relaxed
data_YTcRh2
_chemical_formula_sum 'Y3 Tc3 Rh6'
_symmetry_space_group_name_H-M 'R -3 m'
_symmetry_Int_Tables_number 166
_symmetry_space_group_name_Hall '-R 3 2"'
_cell_length_a 2.9065
_cell_length_b 2.9065
_cell_length_c 27.5955
_cell_angle_alpha 90.00
_cell_angle_beta 90.00
_cell_angle_gamma 120.00
loop_
_atom_site_label
_atom_site_type_symbol
_atom_site_fract_x
_atom_site_fract_y
_atom_site_fract_z
Y1 Y 0.0000 0.0000 0.0000
Tc1 Tc 0.0000 0.0000 0.5000
Rh1 Rh 0.0000 0.0000 0.2430
# Mass density in kg/m3: 9690

---

If we sort the structures by their calculated energies, the order from most to least stable is one, two.

---

one | # YTcRh2 | the Alexandria database | GGA-PBE | relaxed
data_YTcRh2
_chemical_formula_sum 'Y1 Tc1 Rh2'
_symmetry_space_group_name_H-M 'P 1 2/m 1'
_symmetry_Int_Tables_number 10
_cell_length_a 2.921
_cell_length_b 3.808
_cell_length_c 6.140
_cell_angle_alpha 90.00
_cell_angle_beta 90.26
_cell_angle_gamma 90.00
loop_
_symmetry_equiv_pos_as_xyz
'x,y,z'
'-x,-y,-z'
'-x,y,-z'
'x,-y,z'
loop_
_atom_site_label
_atom_site_type_symbol
_atom_site_fract_x
_atom_site_fract_y
_atom_site_fract_z
Y1 Y 0.000 0.000 0.000
Tc1 Tc 0.000 0.000 0.500
Rh1 Rh 0.500 0.500 0.286
# Mass density in kg/m3: 9549

---

two | # YTcRh2 | the Alexandria database | GGA-PBE | relaxed
data_YTcRh2
_chemical_formula_sum 'Y4 Tc4 Rh8'
_symmetry_space_group_name_H-M 'F -4 3 m'
_symmetry_Int_Tables_number 216
_symmetry_space_group_name_Hall 'F -4 2 3'
_cell_length_a 6.466
_cell_length_b 6.466
_cell_length_c 6.466
_cell_angle_alpha 90.00
_cell_angle_beta 90.00
_cell_angle_gamma 90.00
loop_
_atom_site_label
_atom_site_type_symbol
_atom_site_fract_x
_atom_site_fract_y
_atom_site_fract_z
Y1 Y 0.000 0.000 0.000
Tc1 Tc 0.250 0.250 0.750
Rh1 Rh 0.000 0.000 0.500
Rh2 Rh 0.250 0.250 0.250
# Mass density in kg/m3: 9650

---

three | # YTcRh2 | the Alexandria database | GGA-PBE | relaxed
data_YTcRh2
_chemical_formula_sum 'Y2 Tc2 Rh4'
_symmetry_space_group_name_H-M 'C 1 2/m 1'
_symmetry_Int_Tables_number 12
_cell_length_a 9.213
_cell_length_b 2.934
_cell_length_c 5.172
_cell_angle_alpha 90.00
_cell_angle_beta 100.34
_cell_angle_gamma 90.00
loop_
_symmetry_equiv_pos_as_xyz
'x,y,z'
'-x,-y,-z'
'-x,y,-z'
'x,-y,z'
'x+1/2,y+1/2,z'
'-x+1/2,-y+1/2,-z'
'-x+1/2,y+1/2,-z'
'x+1/2,-y+1/2,z'
loop_
_atom_site_label
_atom_site_type_symbol
_atom_site_fract_x
_atom_site_fract_y
_atom_site_fract_z
Y1 Y 0.000 0.000 0.000
Tc1 Tc 0.000 0.500 0.500
Rh1 Rh 0.244 0.000 0.711
# Mass density in kg/m3: 9481

---

If we sort the structures by their calculated energies, the order from most to least stable is one, three, two.